[1]
A relaxed structure of BaNa2TlSb2, computed with PBE.

Cell lengths 4.963, 8.703, 9.479 Å; angles 90.00, 90.00, 90.00 degrees
Positions (direct):
Ba: 0.000 0.981 0.434
Ba: 0.000 0.481 0.566
Na: 0.500 0.049 0.073
Na: 0.000 0.367 0.171
Na: 0.500 0.549 0.927
Na: 0.000 0.867 0.829
Tl: 0.500 0.139 0.695
Tl: 0.500 0.639 0.305
Sb: 0.000 0.242 0.863
Sb: 0.500 0.267 0.372
Sb: 0.000 0.742 0.137
Sb: 0.500 0.767 0.628

Final energy in eV per cell: -36.6

=====

[2]
A relaxed structure of BaNa2Tl2Sb2, computed with PBE.

Cell lengths 5.419, 5.419, 9.631 Å; angles 73.66, 73.66, 60.00 degrees
Positions (direct):
Ba: 0.000 0.000 0.000
Na: 0.140 0.140 0.580
Na: 0.860 0.860 0.420
Tl: 0.563 0.563 0.311
Tl: 0.437 0.437 0.689
Sb: 0.743 0.743 0.770
Sb: 0.257 0.257 0.230

Final energy in eV per cell: -20.4

=====

[3]
A relaxed structure of BaNa3Sc, computed with PBE.

Cell lengths 6.208, 6.208, 6.208 Å; angles 90.00, 90.00, 90.00 degrees
Positions (direct):
Sc: 0.500 0.500 0.500
Na: 0.000 0.500 0.000
Na: 0.000 0.000 0.500
Na: 0.500 0.000 0.000
Ba: 0.000 0.000 0.000

Energy of formation in meV/atom: 1057
Final energy in eV per cell: -6.9
Distance to the lowest polymorph of the same formula in meV/atom: 466.1

=====

[4]
A relaxed structure of Ba2NaSc, computed with PBE.

Cell lengths 9.645, 9.645, 7.766 Å; angles 51.62, 51.62, 90.00 degrees
Positions (direct):
Sc: 0.000 0.000 0.000
Sc: 0.750 0.250 0.500
Na: 0.500 0.500 0.000
Na: 0.250 0.750 0.500
Ba: 0.621 0.125 0.250
Ba: 0.129 0.625 0.250
Ba: 0.375 0.379 0.750
Ba: 0.875 0.871 0.750

Energy of formation in meV/atom: 488
Final energy in eV per cell: -19.1
Distance to the lowest polymorph of the same formula in meV/atom: 166.6

=====

[5]
A relaxed structure of BaNaSc3, computed with PBE.

Cell lengths 5.532, 5.532, 5.532 Å; angles 90.00, 90.00, 90.00 degrees
Positions (direct):
Sc: 0.000 0.500 0.000
Sc: 0.000 0.000 0.500
Sc: 0.500 0.000 0.000
Na: 0.500 0.500 0.500
Ba: 0.000 0.000 0.000

Energy of formation in meV/atom: 1123
Final energy in eV per cell: -16.6
Distance to the lowest polymorph of the same formula in meV/atom: 312.8

=====

[6]
A relaxed structure of Ba2NaSc, computed with PBE.

Cell lengths 3.719, 3.719, 13.880 Å; angles 82.30, 82.30, 60.00 degrees
Positions (direct):
Sc: 0.000 0.000 0.000
Na: 0.500 0.500 0.500
Ba: 0.082 0.082 0.755
Ba: 0.918 0.918 0.245

Energy of formation in meV/atom: 440
Final energy in eV per cell: -9.7
Distance to the lowest polymorph of the same formula in meV/atom: 118.7

=====

[7]
A relaxed structure of BaNa3Sc, computed with PBE.

Cell lengths 6.110, 6.110, 6.110 Å; angles 90.00, 90.00, 90.00 degrees
Positions (direct):
Sc: 0.000 0.000 0.000
Na: 0.000 0.500 0.000
Na: 0.000 0.000 0.500
Na: 0.500 0.000 0.000
Ba: 0.500 0.500 0.500

Energy of formation in meV/atom: 591
Final energy in eV per cell: -9.3
Distance to the lowest polymorph of the same formula in meV/atom: 0.0

=====

[8]
A relaxed structure of Ba3NaSc, computed with PBE.

Cell lengths 6.792, 6.792, 6.792 Å; angles 90.00, 90.00, 90.00 degrees
Positions (direct):
Sc: 0.000 0.000 0.000
Na: 0.500 0.500 0.500
Ba: 0.000 0.500 0.000
Ba: 0.000 0.000 0.500
Ba: 0.500 0.000 0.000

Energy of formation in meV/atom: 474
Final energy in eV per cell: -11.0
Distance to the lowest polymorph of the same formula in meV/atom: 0.0

=====

[9]
A relaxed structure of BaNa2Sc, computed with PBE.

Cell lengths 5.993, 5.993, 5.993 Å; angles 60.00, 60.00, 60.00 degrees
Positions (direct):
Sc: 0.000 0.000 0.000
Na: 0.250 0.250 0.250
Na: 0.750 0.750 0.750
Ba: 0.500 0.500 0.500

Energy of formation in meV/atom: 374
Final energy in eV per cell: -9.4
Distance to the lowest polymorph of the same formula in meV/atom: 0.0

=====

[10]
A relaxed structure of BaNaSc2, computed with PBE.

Cell lengths 9.087, 9.087, 7.209 Å; angles 50.93, 50.93, 90.00 degrees
Positions (direct):
Sc: 0.600 0.125 0.250
Sc: 0.150 0.625 0.250
Sc: 0.375 0.400 0.750
Sc: 0.875 0.850 0.750
Na: 0.500 0.500 0.000
Na: 0.250 0.750 0.500
Ba: 0.000 0.000 0.000
Ba: 0.750 0.250 0.500

Energy of formation in meV/atom: 676
Final energy in eV per cell: -26.4
Distance to the lowest polymorph of the same formula in meV/atom: 152.9

=====

[11]
A relaxed structure of Ba2NaSc, computed with PBE.

Cell lengths 6.336, 6.336, 6.336 Å; angles 60.00, 60.00, 60.00 degrees
Positions (direct):
Sc: 0.500 0.500 0.500
Na: 0.000 0.000 0.000
Ba: 0.250 0.250 0.250
Ba: 0.750 0.750 0.750

Energy of formation in meV/atom: 321
Final energy in eV per cell: -10.2
Distance to the lowest polymorph of the same formula in meV/atom: 0.0

=====

[12]
A relaxed structure of BaNa2Sc, computed with PBE.

Cell lengths 9.511, 9.511, 7.598 Å; angles 51.25, 51.25, 90.00 degrees
Positions (direct):
Sc: 0.500 0.500 0.000
Sc: 0.250 0.750 0.500
Na: 0.598 0.125 0.250
Na: 0.152 0.625 0.250
Na: 0.375 0.402 0.750
Na: 0.875 0.848 0.750
Ba: 0.000 0.000 0.000
Ba: 0.750 0.250 0.500

Energy of formation in meV/atom: 521
Final energy in eV per cell: -17.6
Distance to the lowest polymorph of the same formula in meV/atom: 147.4

=====

DOS(E_F)
In order: 0.51; 0.32; 2.16; 1.06; 0.39; 1.38; 1.94; 1.13; 1.54; 1.70; 1.79; 1.45
Unit: states/eV per atom
Mass density
In order: 5121; 5990; 1744; 3292; 2896; 3464; 1829; 2543; 2490; 3080; 3162; 2370
Unit: kg/m3